Computed, not measured: a relaxed Hf5Sc4 crystal at the PBE level of DFT.

Computed properties:
N(E_F), states/eV/f.u.: 12.83
Symmetry: No. 139
Energy of formation from the pure elements, kJ per mole of atoms: 5
Size of the total moment, Bohr magnetons per cell: 0.00

Cell lengths 4.515, 7.148, 7.148 Å; angles 84.28, 71.59, 71.59 degrees
Fractional positions:
1 Hf 0.662 0.000 0.675
2 Hf 0.338 0.325 0.000
3 Hf 0.662 0.675 0.000
4 Hf 0.000 0.000 0.000
5 Sc 0.000 0.676 0.324
6 Sc 0.676 0.324 0.324
7 Hf 0.338 0.000 0.325
8 Sc 0.324 0.676 0.676
9 Sc 0.000 0.324 0.676